1.
Material: NaTl6Sb
Method: DFT, PBE-GGA
State: optimized geometry

Results
formation energy from raw total energies: -4.7 kJ/mol of atoms
D(E_F): 2.7 states/eV per cell
calculated density: 9455 kg/m³

Cell and atoms, written as CIF:
```
data_NaTl6Sb
_cell_length_a 5.634
_cell_length_b 5.634
_cell_length_c 7.587
_cell_angle_alpha 90.00
_cell_angle_beta 90.00
_cell_angle_gamma 90.00
_symmetry_space_group_name_H-M 'P 4/m m m'
_symmetry_Int_Tables_number 123
_symmetry_space_group_name_Hall '-P 4 2'
loop_
_atom_site_label
_atom_site_fract_x
_atom_site_fract_y
_atom_site_fract_z
_atom_site_occupancy
Na1 0.000 0.000 0.000 1
Tl1 0.000 0.500 0.253 1
Tl2 0.500 0.500 0.000 1
Tl3 0.500 0.500 0.500 1
Sb1 0.000 0.000 0.500 1
```

=====

2.
Material: Na2TlSb
Method: DFT, PBE-GGA
State: optimized geometry

Results
formation energy from raw total energies: -4.6 kJ/mol of atoms
D(E_F): 11.6 states/eV per cell
calculated density: 4950 kg/m³

Cell and atoms, written as CIF:
```
data_Na2TlSb
_cell_length_a 4.842
_cell_length_b 4.842
_cell_length_c 21.295
_cell_angle_alpha 90.00
_cell_angle_beta 90.00
_cell_angle_gamma 90.00
_symmetry_space_group_name_H-M 'I -4 2 d'
_symmetry_Int_Tables_number 122
_symmetry_space_group_name_Hall 'I -4 2bw'
loop_
_atom_site_label
_atom_site_fract_x
_atom_site_fract_y
_atom_site_fract_z
_atom_site_occupancy
Na1 0.233 0.250 0.125 1
Tl1 0.000 0.000 0.500 1
Sb1 0.000 0.000 0.000 1
```

=====

3.
Material: Na2Tl6Sb
Method: DFT, PBE-GGA
State: optimized geometry

Results
formation energy from raw total energies: -4.6 kJ/mol of atoms
D(E_F): 8.6 states/eV per cell
calculated density: 8280 kg/m³

Cell and atoms, written as CIF:
```
data_Na2Tl6Sb
_cell_length_a 14.688
_cell_length_b 6.438
_cell_length_c 5.976
_cell_angle_alpha 90.00
_cell_angle_beta 98.30
_cell_angle_gamma 90.00
_symmetry_space_group_name_H-M 'C 1 2/m 1'
_symmetry_Int_Tables_number 12
loop_
_symmetry_equiv_pos_as_xyz
'x,y,z'
'-x,-y,-z'
'-x,y,-z'
'x,-y,z'
'x+1/2,y+1/2,z'
'-x+1/2,-y+1/2,-z'
'-x+1/2,y+1/2,-z'
'x+1/2,-y+1/2,z'
loop_
_atom_site_label
_atom_site_fract_x
_atom_site_fract_y
_atom_site_fract_z
_atom_site_occupancy
Na1 0.080 0.000 0.335 1
Tl1 0.135 0.252 0.889 1
Tl2 0.207 0.500 0.401 1
Sb1 0.000 0.500 0.500 1
```

=====

4.
Material: Na2Tl2Sb3
Method: DFT, PBE-GGA
State: optimized geometry

Results
formation energy from raw total energies: -13.6 kJ/mol of atoms
D(E_F): 5.9 states/eV per cell
calculated density: 6473 kg/m³

Cell and atoms, written as CIF:
```
data_Na2Tl2Sb3
_cell_length_a 11.215
_cell_length_b 4.003
_cell_length_c 9.373
_cell_angle_alpha 90.00
_cell_angle_beta 91.00
_cell_angle_gamma 90.00
_symmetry_space_group_name_H-M 'C 1 2/m 1'
_symmetry_Int_Tables_number 12
loop_
_symmetry_equiv_pos_as_xyz
'x,y,z'
'-x,-y,-z'
'-x,y,-z'
'x,-y,z'
'x+1/2,y+1/2,z'
'-x+1/2,-y+1/2,-z'
'-x+1/2,y+1/2,-z'
'x+1/2,-y+1/2,z'
loop_
_atom_site_label
_atom_site_fract_x
_atom_site_fract_y
_atom_site_fract_z
_atom_site_occupancy
Na1 0.057 0.000 0.287 1
Tl1 0.212 0.000 0.856 1
Sb1 0.000 0.500 0.000 1
Sb2 0.176 0.500 0.569 1
```